*A*
VASP calculation (GGA-PBE) on crystalline SrAsSe2Br at its relaxed geometry.

## Properties
Magnetization   1.17 Bohr magnetons per cell
ρ   4.545 g cm⁻³

a b c (Å): 5.356 5.356 5.099
angles (deg): 90.00 90.00 90.00
Space group P4/mmm (No. 123)
Asymmetric unit:
1 Sr 0.000 0.000 0.000 [1 per cell]
2 As 0.500 0.500 0.000 [1 per cell]
3 Se 0.000 0.500 0.500 [2 per cell]
4 Br 0.500 0.500 0.500 [1 per cell]

---

*B*
VASP calculation (GGA-PBE) on crystalline SrAsSe2Br at its relaxed geometry.

## Properties
Magnetization   0.00 Bohr magnetons per cell
ρ   3.469 g cm⁻³

a b c (Å): 5.863 5.863 5.575
angles (deg): 90.00 90.00 90.00
Space group P4/mmm (No. 123)
Asymmetric unit:
1 Sr 0.000 0.000 0.000 [1 per cell]
2 As 0.500 0.500 0.500 [1 per cell]
3 Se 0.000 0.500 0.000 [2 per cell]
4 Br 0.000 0.000 0.500 [1 per cell]

---

*C*
VASP calculation (GGA-PBE) on crystalline SrAsSe2Br at its relaxed geometry.

## Properties
Magnetization   0.00 Bohr magnetons per cell
ρ   4.690 g cm⁻³

a b c (Å): 5.211 5.211 5.220
angles (deg): 90.00 90.00 90.00
Space group P4/mmm (No. 123)
Asymmetric unit:
1 Sr 0.000 0.000 0.000 [1 per cell]
2 As 0.500 0.500 0.500 [1 per cell]
3 Se 0.000 0.500 0.500 [2 per cell]
4 Br 0.500 0.500 0.000 [1 per cell]

---

What should be chosen as the least stable of them? Choose *B*.

---

*A*
VASP calculation (GGA-PBE) on crystalline TaAsSeBr2 at its relaxed geometry.

## Properties
Magnetization   3.56 Bohr magnetons per cell
ρ   5.975 g cm⁻³

a b c (Å): 5.093 5.093 5.299
angles (deg): 90.00 90.00 90.00
Space group P4/mmm (No. 123)
Asymmetric unit:
1 Ta 0.000 0.000 0.000 [1 per cell]
2 As 0.500 0.500 0.500 [1 per cell]
3 Se 0.500 0.500 0.000 [1 per cell]
4 Br 0.000 0.500 0.500 [2 per cell]

---

*B*
VASP calculation (GGA-PBE) on crystalline TaAsSeBr2 at its relaxed geometry.

## Properties
Magnetization   2.91 Bohr magnetons per cell
ρ   5.999 g cm⁻³

a b c (Å): 5.214 5.214 5.037
angles (deg): 90.00 90.00 90.00
Space group P4/mmm (No. 123)
Asymmetric unit:
1 Ta 0.000 0.000 0.000 [1 per cell]
2 As 0.500 0.500 0.500 [1 per cell]
3 Se 0.000 0.000 0.500 [1 per cell]
4 Br 0.000 0.500 0.000 [2 per cell]

---

What should be chosen as the least stable of them? Choose *A*.

---

*A*
VASP calculation (GGA-PBE) on crystalline TaAsSeBr2 at its relaxed geometry.

## Properties
Magnetization   0.25 Bohr magnetons per cell
ρ   6.291 g cm⁻³

a b c (Å): 4.952 4.952 5.323
angles (deg): 90.00 90.00 90.00
Space group P4/mmm (No. 123)
Asymmetric unit:
1 Ta 0.000 0.000 0.000 [1 per cell]
2 As 0.000 0.000 0.500 [1 per cell]
3 Se 0.500 0.500 0.500 [1 per cell]
4 Br 0.000 0.500 0.000 [2 per cell]

---

*B*
VASP calculation (GGA-PBE) on crystalline TaAsSeBr2 at its relaxed geometry.

## Properties
Magnetization   2.85 Bohr magnetons per cell
ρ   6.022 g cm⁻³

a b c (Å): 5.044 5.044 5.361
angles (deg): 90.00 90.00 90.00
Space group P4/mmm (No. 123)
Asymmetric unit:
1 Ta 0.000 0.000 0.000 [1 per cell]
2 As 0.500 0.500 0.000 [1 per cell]
3 Se 0.500 0.500 0.500 [1 per cell]
4 Br 0.000 0.500 0.500 [2 per cell]

---

What should be chosen as the least stable of them? Choose *B*.